(1)
DFT (PBE-GGA) results for a relaxed structure of La5Sn.

Energy relative to the elements = -0.288 eV/atom
Relative energy among the computed polymorphs = 0 meV/atom

Geometry as CIF:
```
data_La5Sn
_space_group_name_H-M_alt 'P 1'
_space_group_IT_number 1
_cell_length_a 5.020
_cell_length_b 5.012
_cell_length_c 8.425
_cell_angle_alpha 107.30
_cell_angle_beta 90.00
_cell_angle_gamma 90.00
loop_
_space_group_symop_operation_xyz
'x,y,z'
loop_
_atom_site_label
_atom_site_type_symbol
_atom_site_fract_x
_atom_site_fract_y
_atom_site_fract_z
La1 La 0.500 0.500 0.000
La2 La 0.000 0.339 0.677
La3 La 0.500 0.844 0.688
La4 La 0.500 0.156 0.312
La5 La 0.000 0.661 0.323
Sn1 Sn 0.000 0.000 0.000
```

(2)
DFT (PBE-GGA) results for a relaxed structure of La11Sn10.

Energy relative to the elements = -0.790 eV/atom

Geometry as CIF:
```
data_La11Sn10
_space_group_name_H-M_alt 'P 1'
_space_group_IT_number 1
_cell_length_a 12.602
_cell_length_b 12.602
_cell_length_c 12.602
_cell_angle_alpha 122.23
_cell_angle_beta 122.23
_cell_angle_gamma 86.18
loop_
_space_group_symop_operation_xyz
'x,y,z'
loop_
_atom_site_label
_atom_site_type_symbol
_atom_site_fract_x
_atom_site_fract_y
_atom_site_fract_z
La1 La 0.178 0.822 0.000
La2 La 0.603 0.925 0.322
La3 La 0.558 0.809 0.749
La4 La 0.075 0.397 0.678
La5 La 0.925 0.603 0.322
La6 La 0.809 0.558 0.749
La7 La 0.940 0.191 0.749
La8 La 0.191 0.940 0.749
La9 La 0.397 0.720 0.322
La10 La 0.603 0.280 0.678
La11 La 0.720 0.397 0.322
La12 La 0.822 0.822 0.645
La13 La 0.178 0.178 0.355
La14 La 0.809 0.060 0.251
La15 La 0.397 0.075 0.678
La16 La 0.822 0.178 0.000
La17 La 0.661 0.661 0.000
La18 La 0.280 0.603 0.678
La19 La 0.339 0.339 0.000
La20 La 0.191 0.442 0.251
La21 La 0.060 0.809 0.251
La22 La 0.442 0.191 0.251
Sn1 Sn 0.529 0.111 0.000
Sn2 Sn 0.529 0.529 0.419
Sn3 Sn 0.000 0.635 0.635
Sn4 Sn 0.111 0.111 0.581
Sn5 Sn 0.889 0.889 0.419
Sn6 Sn 0.471 0.471 0.581
Sn7 Sn 0.471 0.889 0.000
Sn8 Sn 0.111 0.529 0.000
Sn9 Sn 0.750 0.250 0.500
Sn10 Sn 0.250 0.750 0.500
Sn11 Sn 0.889 0.471 0.000
Sn12 Sn 0.892 0.892 0.000
Sn13 Sn 0.623 0.377 0.000
Sn14 Sn 0.377 0.623 0.000
Sn15 Sn 0.000 0.365 0.365
Sn16 Sn 0.108 0.108 0.000
Sn17 Sn 0.377 0.377 0.754
Sn18 Sn 0.623 0.623 0.246
Sn19 Sn 0.365 0.000 0.365
Sn20 Sn 0.635 0.000 0.635
```

(3)
DFT (PBE-GGA) results for a relaxed structure of La3Sn.

Energy relative to the elements = -0.493 eV/atom
Relative energy among the computed polymorphs = 0 meV/atom

Geometry as CIF:
```
data_La3Sn
_space_group_name_H-M_alt 'P 1'
_space_group_IT_number 1
_cell_length_a 5.032
_cell_length_b 5.032
_cell_length_c 5.032
_cell_angle_alpha 90.00
_cell_angle_beta 90.00
_cell_angle_gamma 90.00
loop_
_space_group_symop_operation_xyz
'x,y,z'
loop_
_atom_site_label
_atom_site_type_symbol
_atom_site_fract_x
_atom_site_fract_y
_atom_site_fract_z
La1 La 0.500 0.000 0.500
La2 La 0.000 0.500 0.500
La3 La 0.500 0.500 0.000
Sn1 Sn 0.000 0.000 0.000
```

(4)
DFT (PBE-GGA) results for a relaxed structure of La2Sn3.

Energy relative to the elements = -0.625 eV/atom

Geometry as CIF:
```
data_La2Sn3
_space_group_name_H-M_alt 'P 1'
_space_group_IT_number 1
_cell_length_a 5.115
_cell_length_b 5.115
_cell_length_c 7.545
_cell_angle_alpha 70.19
_cell_angle_beta 70.19
_cell_angle_gamma 60.00
loop_
_space_group_symop_operation_xyz
'x,y,z'
loop_
_atom_site_label
_atom_site_type_symbol
_atom_site_fract_x
_atom_site_fract_y
_atom_site_fract_z
Sn1 Sn 0.000 0.000 0.000
Sn2 Sn 0.168 0.168 0.497
Sn3 Sn 0.832 0.832 0.503
La1 La 0.596 0.596 0.211
La2 La 0.404 0.404 0.789
```

(5)
DFT (PBE-GGA) results for a relaxed structure of La4Sn3.

Energy relative to the elements = -0.569 eV/atom
Relative energy among the computed polymorphs = 213 meV/atom

Geometry as CIF:
```
data_La4Sn3
_space_group_name_H-M_alt 'P 1'
_space_group_IT_number 1
_cell_length_a 4.504
_cell_length_b 4.504
_cell_length_c 12.896
_cell_angle_alpha 100.06
_cell_angle_beta 100.06
_cell_angle_gamma 90.00
loop_
_space_group_symop_operation_xyz
'x,y,z'
loop_
_atom_site_label
_atom_site_type_symbol
_atom_site_fract_x
_atom_site_fract_y
_atom_site_fract_z
La1 La 0.438 0.438 0.877
La2 La 0.562 0.562 0.123
La3 La 0.817 0.817 0.634
La4 La 0.183 0.183 0.366
Sn1 Sn 0.315 0.315 0.629
Sn2 Sn 0.000 0.000 0.000
Sn3 Sn 0.685 0.685 0.371
```

(6)
DFT (PBE-GGA) results for a relaxed structure of SrLaSn.

Energy relative to the elements = -0.498 eV/atom
Relative energy among the computed polymorphs = 0 meV/atom

Geometry as CIF:
```
data_SrLaSn
_space_group_name_H-M_alt 'P 1'
_space_group_IT_number 1
_cell_length_a 4.755
_cell_length_b 5.779
_cell_length_c 9.038
_cell_angle_alpha 103.52
_cell_angle_beta 90.01
_cell_angle_gamma 114.27
loop_
_space_group_symop_operation_xyz
'x,y,z'
loop_
_atom_site_label
_atom_site_type_symbol
_atom_site_fract_x
_atom_site_fract_y
_atom_site_fract_z
Sr1 Sr 0.178 0.356 0.624
Sr2 Sr 0.822 0.644 0.376
Sn1 Sn 0.891 0.783 0.793
Sn2 Sn 0.109 0.217 0.207
La1 La 0.615 0.230 0.927
La2 La 0.385 0.770 0.073
```

(7)
DFT (PBE-GGA) results for a relaxed structure of SrLa2Sn.

Energy relative to the elements = -0.132 eV/atom

Geometry as CIF:
```
data_SrLa2Sn
_space_group_name_H-M_alt 'P 1'
_space_group_IT_number 1
_cell_length_a 9.518
_cell_length_b 9.518
_cell_length_c 7.560
_cell_angle_alpha 50.98
_cell_angle_beta 50.98
_cell_angle_gamma 90.00
loop_
_space_group_symop_operation_xyz
'x,y,z'
loop_
_atom_site_label
_atom_site_type_symbol
_atom_site_fract_x
_atom_site_fract_y
_atom_site_fract_z
La1 La 0.375 0.328 0.750
La2 La 0.078 0.625 0.250
La3 La 0.672 0.125 0.250
La4 La 0.875 0.922 0.750
Sr1 Sr 0.250 0.750 0.500
Sr2 Sr 0.500 0.500 0.000
Sn1 Sn 0.000 0.000 0.000
Sn2 Sn 0.750 0.250 0.500
```

(8)
DFT (PBE-GGA) results for a relaxed structure of Sr2La2Sn.

Energy relative to the elements = -0.080 eV/atom

Geometry as CIF:
```
data_Sr2La2Sn
_space_group_name_H-M_alt 'P 1'
_space_group_IT_number 1
_cell_length_a 8.300
_cell_length_b 8.300
_cell_length_c 5.993
_cell_angle_alpha 90.00
_cell_angle_beta 90.00
_cell_angle_gamma 90.00
loop_
_space_group_symop_operation_xyz
'x,y,z'
loop_
_atom_site_label
_atom_site_type_symbol
_atom_site_fract_x
_atom_site_fract_y
_atom_site_fract_z
La1 La 0.131 0.369 0.000
La2 La 0.869 0.631 0.000
La3 La 0.631 0.131 0.000
La4 La 0.369 0.869 0.000
Sr1 Sr 0.825 0.325 0.500
Sr2 Sr 0.175 0.675 0.500
Sr3 Sr 0.675 0.825 0.500
Sr4 Sr 0.325 0.175 0.500
Sn1 Sn 0.000 0.000 0.000
Sn2 Sn 0.500 0.500 0.000
```

Number 1: V 202 Å³/f.u., total DFT energy (no corrections) -5.0613 eV per atom. Number 2: V 682 Å³/f.u., total DFT energy (no corrections) -5.2768 eV per atom. Number 3: V 127 Å³/f.u., total DFT energy (no corrections) -5.1894 eV per atom. Number 4: V 157 Å³/f.u., total DFT energy (no corrections) -4.9974 eV per atom. Number 5: V 254 Å³/f.u., total DFT energy (no corrections) -5.1007 eV per atom. Number 6: V 109 Å³/f.u., total DFT energy (no corrections) -4.0349 eV per atom. Number 7: V 156 Å³/f.u., total DFT energy (no corrections) -4.0165 eV per atom. Number 8: V 206 Å³/f.u., total DFT energy (no corrections) -3.5242 eV per atom.